(1)
YMgIO2 | GGA-PBE | optimized geometry

Spin magnetization   0.0 μB per formula unit
Formation energy (no corrections)   -1.402 eV per atom
DFT total energy   -0.390 Ry/atom
DOS at the Fermi energy   4.2 states/eV/cell

Lattice parameters (Å, degrees): 4.3641 4.3641 6.2024 90.00 90.00 90.00
Last column: nearest neighbours and their distance in Å.
Sites, in units of the cell vectors:
1 I 0.0000 0.0000 0.5000  4 Mg 3.09, 2 Y 3.10
2 Y 0.0000 0.0000 0.0000  4 O 2.18
3 Mg 0.5000 0.5000 0.5000  4 I 3.09
4 O 0.0000 0.5000 0.0000  2 Y 2.18
5 O 0.5000 0.0000 0.0000  2 Y 2.18



(2)
YMgI2O | GGA-PBE | optimized geometry

Spin magnetization   0.0 μB per formula unit
Formation energy (no corrections)   -1.046 eV per atom
DFT total energy   -0.314 Ry/atom
DOS at the Fermi energy   0.7 states/eV/cell

Lattice parameters (Å, degrees): 5.8306 5.8306 3.7495 90.00 90.00 90.00
Last column: nearest neighbours and their distance in Å.
Sites, in units of the cell vectors:
1 I 0.0000 0.5000 0.0000  2 Mg 2.92
2 I 0.5000 0.0000 0.0000  2 Mg 2.92
3 Y 0.5000 0.5000 0.5000  8 I 3.47, 2 Y 3.75
4 Mg 0.0000 0.0000 0.0000  2 O 1.87
5 O 0.0000 0.0000 0.5000  2 Mg 1.87



(3)
YMgIO2 | GGA-PBE | optimized geometry

Spin magnetization   0.0 μB per formula unit
Formation energy (no corrections)   -1.137 eV per atom
DFT total energy   -0.371 Ry/atom
DOS at the Fermi energy   2.0 states/eV/cell

Lattice parameters (Å, degrees): 4.2109 4.2109 5.0919 90.00 90.00 90.00
Last column: nearest neighbours and their distance in Å.
Sites, in units of the cell vectors:
1 I 0.0000 0.0000 0.5000  2 Mg 2.55
2 Y 0.5000 0.5000 0.5000  4 I 2.98, 8 O 3.30
3 Mg 0.0000 0.0000 0.0000  4 O 2.11
4 O 0.0000 0.5000 0.0000  2 Mg 2.11
5 O 0.5000 0.0000 0.0000  2 Mg 2.11